Record 1
# Hg2IrPd

Crystalline Hg2IrPd at its relaxed geometry (GGA-PBEsol, Alexandria).

Properties
Crystal system: cubic
Energy of formation from the pure elements (eV per atom): 0.198

Lattice parameters (Å, degrees): 6.4553 6.4553 6.4553 90.00 90.00 90.00
Space group Fm-3m (No. 225)
Unique sites:
Hg 0.2500 0.2500 0.2500
Ir 0.0000 0.0000 0.0000
Pd 0.0000 0.0000 0.5000

***

Record 2
# Na2HgS2

Crystalline Na2HgS2 at its relaxed geometry (GGA-PBEsol, Alexandria).

Properties
Crystal system: orthorhombic
Formation energy from raw total energies (eV per atom): -0.761

Lattice parameters (Å, degrees): 7.2022 18.1052 7.4276 90.00 90.00 90.00
Space group Pbca (No. 61)
Unique sites:
Na 0.0010 0.0567 0.2264
Na 0.1720 0.1959 0.4606
Hg 0.2261 0.6081 0.8514
S 0.2017 0.6775 0.1142
S 0.2400 0.0476 0.5761

***

Record 3
# CoNiBr2

Crystalline CoNiBr2 at its relaxed geometry (GGA-PBEsol, Alexandria).

Properties
Crystal system: tetragonal
Formation energy from raw total energies (eV per atom): 0.506
E above lowest polymorph (meV/atom): 452.1

Lattice parameters (Å, degrees): 3.4380 3.4380 12.3773 90.00 90.00 90.00
Space group I-4m2 (No. 119)
Unique sites:
Co 0.0000 0.0000 0.0000
Ni 0.0000 0.5000 0.2500
Br 0.0000 0.0000 0.5000
Br 0.0000 0.5000 0.7500

***

Record 4
# CrRe3Pt

Crystalline CrRe3Pt at its relaxed geometry (GGA-PBEsol, Alexandria).

Properties
Crystal system: cubic
Energy of formation from the pure elements (eV per atom): 2.690

Lattice parameters (Å, degrees): 4.6770 4.6770 4.6770 90.00 90.00 90.00
Space group Pm-3m (No. 221)
Unique sites:
Cr 0.0000 0.0000 0.0000
Re 0.0000 0.5000 0.5000
Pt 0.5000 0.5000 0.5000

***

Record 5
# CaCr2Se

Crystalline CaCr2Se at its relaxed geometry (GGA-PBEsol, Alexandria).

Properties
Crystal system: tetragonal
Formation energy from raw total energies (eV per atom): 0.432

Lattice parameters (Å, degrees): 3.4121 3.4121 6.0079 90.00 90.00 90.00
Space group P4/mmm (No. 123)
Unique sites:
Ca 0.0000 0.0000 0.0000
Cr 0.5000 0.5000 0.3367
Se 0.0000 0.0000 0.5000

***

Record 6
# LaMnAg2

Crystalline LaMnAg2 at its relaxed geometry (GGA-PBEsol, Alexandria).

Properties
Crystal system: tetragonal
Energy of formation from the pure elements (eV per atom): 0.169

Lattice parameters (Å, degrees): 3.4306 3.4306 6.9318 90.00 90.00 90.00
Space group P4mm (No. 99)
Unique sites:
La 0.0000 0.0000 0.0000
Mn 0.5000 0.5000 0.2987
Ag 0.0000 0.0000 0.4843
Ag 0.5000 0.5000 0.6946

***

Number 1: total moment 0.00 μB/cell, total energy -64.491 eV/cell. Number 2: total moment 0.00 μB/cell, total energy -127.534 eV/cell. Number 3: total moment 4.42 μB/cell, total energy -31.219 eV/cell. Number 4: total moment 3.08 μB/cell, total energy -43.754 eV/cell. Number 5: total moment 1.59 μB/cell, total energy -24.741 eV/cell. Number 6: total moment 3.55 μB/cell, total energy -21.054 eV/cell.